<i>
Below is crystalline VWSe2N at its relaxed geometry, with properties calculated at the PBE level.

Cell: 4.947 4.947 3.543 Å, 90.00 90.00 90.00°
Fractional coordinates of all 5 atoms:
V (0.000, 0.000, 0.000)
W (0.500, 0.500, 0.500)
Se (0.000, 0.500, 0.000)
Se (0.500, 0.000, 0.000)
N (0.000, 0.000, 0.500)

Values from the calculation:
size of the total moment	2.7	μB/f.u.

=====

<ii>
Below is crystalline VWSe2N at its relaxed geometry, with properties calculated at the PBE level.

Cell: 5.053 5.053 3.786 Å, 90.00 90.00 90.00°
Fractional coordinates of all 5 atoms:
V (0.000, 0.000, 0.000)
W (0.500, 0.500, 0.500)
Se (0.000, 0.500, 0.500)
Se (0.500, 0.000, 0.500)
N (0.500, 0.500, 0.000)

Values from the calculation:
size of the total moment	0.1	μB/f.u.

=====

Which structure is the most stable? The one labeled <ii>.

=====

<i>
Below is crystalline YVSe2N at its relaxed geometry, with properties calculated at the PBE level.

Cell: 5.492 5.492 4.299 Å, 90.00 90.00 90.00°
Fractional coordinates of all 5 atoms:
Y (0.000, 0.000, 0.000)
V (0.500, 0.500, 0.500)
Se (0.000, 0.500, 0.000)
Se (0.500, 0.000, 0.000)
N (0.000, 0.000, 0.500)

Values from the calculation:
size of the total moment	4.7	μB/f.u.

=====

<ii>
Below is crystalline YVSe2N at its relaxed geometry, with properties calculated at the PBE level.

Cell: 5.009 5.009 3.695 Å, 90.00 90.00 90.00°
Fractional coordinates of all 5 atoms:
Y (0.000, 0.000, 0.000)
V (0.500, 0.500, 0.500)
Se (0.000, 0.500, 0.500)
Se (0.500, 0.000, 0.500)
N (0.500, 0.500, 0.000)

Values from the calculation:
size of the total moment	0.0	μB/f.u.

=====

Which structure is the most stable? The one labeled <ii>.

=====

<i>
Below is crystalline YVSeN2 at its relaxed geometry, with properties calculated at the PBE level.

Cell: 4.236 4.236 5.649 Å, 90.00 90.00 90.00°
Fractional coordinates of all 5 atoms:
Y (0.000, 0.000, 0.000)
V (0.500, 0.500, 0.500)
Se (0.000, 0.000, 0.500)
N (0.000, 0.500, 0.000)
N (0.500, 0.000, 0.000)

Values from the calculation:
size of the total moment	0.4	μB/f.u.

=====

<ii>
Below is crystalline YVSeN2 at its relaxed geometry, with properties calculated at the PBE level.

Cell: 3.903 3.903 4.937 Å, 90.00 90.00 90.00°
Fractional coordinates of all 5 atoms:
Y (0.000, 0.000, 0.000)
V (0.500, 0.500, 0.500)
Se (0.500, 0.500, 0.000)
N (0.000, 0.500, 0.500)
N (0.500, 0.000, 0.500)

Values from the calculation:
size of the total moment	0.0	μB/f.u.

=====

Which structure is the most stable? The one labeled <ii>.

=====

<i>
Below is crystalline VZnSe2N at its relaxed geometry, with properties calculated at the PBE level.

Cell: 4.992 4.992 3.602 Å, 90.00 90.00 90.00°
Fractional coordinates of all 5 atoms:
V (0.000, 0.000, 0.000)
Zn (0.500, 0.500, 0.500)
Se (0.000, 0.500, 0.500)
Se (0.500, 0.000, 0.500)
N (0.500, 0.500, 0.000)

Values from the calculation:
size of the total moment	0.3	μB/f.u.

=====

<ii>
Below is crystalline VZnSe2N at its relaxed geometry, with properties calculated at the PBE level.

Cell: 4.993 4.993 3.625 Å, 90.00 90.00 90.00°
Fractional coordinates of all 5 atoms:
V (0.000, 0.000, 0.000)
Zn (0.500, 0.500, 0.500)
Se (0.000, 0.500, 0.000)
Se (0.500, 0.000, 0.000)
N (0.000, 0.000, 0.500)

Values from the calculation:
size of the total moment	0.0	μB/f.u.

=====

Which structure is the most stable? The one labeled <ii>.

=====

<i>
Below is crystalline ZrVSe2N at its relaxed geometry, with properties calculated at the PBE level.

Cell: 5.293 5.293 3.991 Å, 90.00 90.00 90.00°
Fractional coordinates of all 5 atoms:
Zr (0.000, 0.000, 0.000)
V (0.500, 0.500, 0.500)
Se (0.000, 0.500, 0.000)
Se (0.500, 0.000, 0.000)
N (0.000, 0.000, 0.500)

Values from the calculation:
size of the total moment	0.0	μB/f.u.

=====

<ii>
Below is crystalline ZrVSe2N at its relaxed geometry, with properties calculated at the PBE level.

Cell: 4.948 4.948 3.615 Å, 90.00 90.00 90.00°
Fractional coordinates of all 5 atoms:
Zr (0.000, 0.000, 0.000)
V (0.500, 0.500, 0.500)
Se (0.000, 0.500, 0.500)
Se (0.500, 0.000, 0.500)
N (0.500, 0.500, 0.000)

Values from the calculation:
size of the total moment	0.0	μB/f.u.

=====

Which structure is the most stable? The one labeled <ii>.

=====

<i>
Below is crystalline ZrVSeN2 at its relaxed geometry, with properties calculated at the PBE level.

Cell: 4.088 4.088 5.479 Å, 90.00 90.00 90.00°
Fractional coordinates of all 5 atoms:
Zr (0.000, 0.000, 0.000)
V (0.500, 0.500, 0.500)
Se (0.000, 0.000, 0.500)
N (0.000, 0.500, 0.000)
N (0.500, 0.000, 0.000)

Values from the calculation:
size of the total moment	0.5	μB/f.u.

=====

<ii>
Below is crystalline ZrVSeN2 at its relaxed geometry, with properties calculated at the PBE level.

Cell: 3.833 3.833 4.865 Å, 90.00 90.00 90.00°
Fractional coordinates of all 5 atoms:
Zr (0.000, 0.000, 0.000)
V (0.500, 0.500, 0.500)
Se (0.500, 0.500, 0.000)
N (0.000, 0.500, 0.500)
N (0.500, 0.000, 0.500)

Values from the calculation:
size of the total moment	0.0	μB/f.u.

=====

Which structure is the most stable? The one labeled <ii>.

=====

<i>
Below is crystalline WSe3N at its relaxed geometry, with properties calculated at the PBE level.

Cell: 4.293 4.293 4.293 Å, 90.00 90.00 90.00°
Fractional coordinates of all 5 atoms:
W (0.000, 0.000, 0.000)
Se (0.000, 0.500, 0.500)
Se (0.500, 0.000, 0.500)
Se (0.500, 0.500, 0.000)
N (0.500, 0.500, 0.500)

Values from the calculation:
size of the total moment	0.0	μB/f.u.

=====

<ii>
Below is crystalline WSe3N at its relaxed geometry, with properties calculated at the PBE level.

Cell: 4.948 4.948 4.948 Å, 90.00 90.00 90.00°
Fractional coordinates of all 5 atoms:
W (0.000, 0.000, 0.000)
Se (0.000, 0.000, 0.500)
Se (0.000, 0.500, 0.000)
Se (0.500, 0.000, 0.000)
N (0.500, 0.500, 0.500)

Values from the calculation:
size of the total moment	2.9	μB/f.u.

=====

Which structure is the most stable? The one labeled <ii>.

=====

<i>
Below is crystalline YWSeN2 at its relaxed geometry, with properties calculated at the PBE level.

Cell: 3.997 3.997 5.117 Å, 90.00 90.00 90.00°
Fractional coordinates of all 5 atoms:
Y (0.000, 0.000, 0.000)
W (0.500, 0.500, 0.500)
Se (0.500, 0.500, 0.000)
N (0.000, 0.500, 0.500)
N (0.500, 0.000, 0.500)

Values from the calculation:
size of the total moment	0.0	μB/f.u.

=====

<ii>
Below is crystalline YWSeN2 at its relaxed geometry, with properties calculated at the PBE level.

Cell: 4.333 4.333 5.518 Å, 90.00 90.00 90.00°
Fractional coordinates of all 5 atoms:
Y (0.000, 0.000, 0.000)
W (0.500, 0.500, 0.500)
Se (0.000, 0.000, 0.500)
N (0.000, 0.500, 0.000)
N (0.500, 0.000, 0.000)

Values from the calculation:
size of the total moment	1.0	μB/f.u.

=====

Which structure is the most stable? The one labeled <i>.

=====

<i>
Below is crystalline ZnWSeN2 at its relaxed geometry, with properties calculated at the PBE level.

Cell: 3.803 3.803 4.881 Å, 90.00 90.00 90.00°
Fractional coordinates of all 5 atoms:
Zn (0.000, 0.000, 0.000)
W (0.500, 0.500, 0.500)
Se (0.000, 0.000, 0.500)
N (0.000, 0.500, 0.000)
N (0.500, 0.000, 0.000)

Values from the calculation:
size of the total moment	0.0	μB/f.u.

=====

<ii>
Below is crystalline ZnWSeN2 at its relaxed geometry, with properties calculated at the PBE level.

Cell: 3.889 3.889 5.375 Å, 90.00 90.00 90.00°
Fractional coordinates of all 5 atoms:
Zn (0.000, 0.000, 0.000)
W (0.500, 0.500, 0.500)
Se (0.500, 0.500, 0.000)
N (0.000, 0.500, 0.500)
N (0.500, 0.000, 0.500)

Values from the calculation:
size of the total moment	0.0	μB/f.u.

=====

Which structure is the most stable? The one labeled <ii>.

=====

<i>
Below is crystalline ZrWSeN2 at its relaxed geometry, with properties calculated at the PBE level.

Cell: 4.113 4.113 5.456 Å, 90.00 90.00 90.00°
Fractional coordinates of all 5 atoms:
Zr (0.000, 0.000, 0.000)
W (0.500, 0.500, 0.500)
Se (0.000, 0.000, 0.500)
N (0.000, 0.500, 0.000)
N (0.500, 0.000, 0.000)

Values from the calculation:
size of the total moment	2.8	μB/f.u.

=====

<ii>
Below is crystalline ZrWSeN2 at its relaxed geometry, with properties calculated at the PBE level.

Cell: 3.944 3.944 5.085 Å, 90.00 90.00 90.00°
Fractional coordinates of all 5 atoms:
Zr (0.000, 0.000, 0.000)
W (0.500, 0.500, 0.500)
Se (0.500, 0.500, 0.000)
N (0.000, 0.500, 0.500)
N (0.500, 0.000, 0.500)

Values from the calculation:
size of the total moment	0.0	μB/f.u.

=====

Which structure is the most stable? The one labeled <ii>.

=====

<i>
Below is crystalline ZrWSe2N at its relaxed geometry, with properties calculated at the PBE level.

Cell: 5.070 5.070 3.780 Å, 90.00 90.00 90.00°
Fractional coordinates of all 5 atoms:
Zr (0.000, 0.000, 0.000)
W (0.500, 0.500, 0.500)
Se (0.000, 0.500, 0.500)
Se (0.500, 0.000, 0.500)
N (0.500, 0.500, 0.000)

Values from the calculation:
size of the total moment	0.0	μB/f.u.

=====

<ii>
Below is crystalline ZrWSe2N at its relaxed geometry, with properties calculated at the PBE level.

Cell: 5.298 5.298 3.955 Å, 90.00 90.00 90.00°
Fractional coordinates of all 5 atoms:
Zr (0.000, 0.000, 0.000)
W (0.500, 0.500, 0.500)
Se (0.000, 0.500, 0.000)
Se (0.500, 0.000, 0.000)
N (0.000, 0.000, 0.500)

Values from the calculation:
size of the total moment	3.3	μB/f.u.

=====

Which structure is the most stable? The one labeled <i>.

=====

<i>
Below is crystalline YZrSeN2 at its relaxed geometry, with properties calculated at the PBE level.

Cell: 4.260 4.260 5.406 Å, 90.00 90.00 90.00°
Fractional coordinates of all 5 atoms:
Y (0.000, 0.000, 0.000)
Zr (0.500, 0.500, 0.500)
Se (0.000, 0.000, 0.500)
N (0.000, 0.500, 0.000)
N (0.500, 0.000, 0.000)

Values from the calculation:
size of the total moment	0.6	μB/f.u.

=====

<ii>
Below is crystalline YZrSeN2 at its relaxed geometry, with properties calculated at the PBE level.

Cell: 4.204 4.204 5.295 Å, 90.00 90.00 90.00°
Fractional coordinates of all 5 atoms:
Y (0.000, 0.000, 0.000)
Zr (0.500, 0.500, 0.500)
Se (0.500, 0.500, 0.000)
N (0.000, 0.500, 0.500)
N (0.500, 0.000, 0.500)

Values from the calculation:
size of the total moment	0.0	μB/f.u.

=====

Which structure is the most stable? The one labeled <ii>.

=====

<i>
Below is crystalline ZnSe3N at its relaxed geometry, with properties calculated at the PBE level.

Cell: 4.428 4.428 4.428 Å, 90.00 90.00 90.00°
Fractional coordinates of all 5 atoms:
Zn (0.000, 0.000, 0.000)
Se (0.000, 0.500, 0.500)
Se (0.500, 0.000, 0.500)
Se (0.500, 0.500, 0.000)
N (0.500, 0.500, 0.500)

Values from the calculation:
size of the total moment	0.0	μB/f.u.

=====

<ii>
Below is crystalline ZnSe3N at its relaxed geometry, with properties calculated at the PBE level.

Cell: 4.958 4.958 4.958 Å, 90.00 90.00 90.00°
Fractional coordinates of all 5 atoms:
Zn (0.000, 0.000, 0.000)
Se (0.000, 0.000, 0.500)
Se (0.000, 0.500, 0.000)
Se (0.500, 0.000, 0.000)
N (0.500, 0.500, 0.500)

Values from the calculation:
size of the total moment	1.9	μB/f.u.

=====

Which structure is the most stable? The one labeled <i>.

=====

<i>
Below is crystalline ZnSeN at its relaxed geometry, with properties calculated at the PBE level.

Cell: 3.180 4.984 7.295 Å, 96.41 96.63 108.26°
Fractional coordinates of all 6 atoms:
Zn (0.128, 0.330, 0.357)
Zn (0.872, 0.670, 0.643)
Se (0.166, 0.159, 0.817)
Se (0.834, 0.841, 0.183)
N (0.242, 0.403, 0.648)
N (0.758, 0.597, 0.352)

Values from the calculation:
size of the total moment	0.0	μB/f.u.

=====

<ii>
Below is crystalline ZnSeN at its relaxed geometry, with properties calculated at the PBE level.

Cell: 7.814 5.452 5.233 Å, 90.00 99.62 90.00°
Fractional coordinates of all 12 atoms:
Zn (0.000, 0.000, 0.000)
Zn (0.243, 0.000, 0.561)
Zn (0.500, 0.500, 0.000)
Zn (0.743, 0.500, 0.561)
Se (0.324, 0.500, 0.571)
Se (0.426, 0.000, 0.188)
Se (0.824, 0.000, 0.571)
Se (0.926, 0.500, 0.188)
N (0.242, 0.000, 0.937)
N (0.498, 0.500, 0.366)
N (0.742, 0.500, 0.937)
N (0.998, 0.000, 0.366)

Values from the calculation:
size of the total moment	0.0	μB/f.u.

=====

Which structure is the most stable? The one labeled <i>.